i) The following is a PBE calculation of crystalline NaZnTeI2 at its relaxed geometry, from Alexandria.

Unit cell a=5.988 b=5.988 c=6.036 alpha=90.00 beta=90.00 gamma=90.00
Space group P4/mmm (No. 123)
Unique sites:
1 Na 0.000 0.000 0.000 [1 per cell]
2 Zn 0.500 0.500 0.500 [1 per cell]
3 Te 0.000 0.000 0.500 [1 per cell]
4 I 0.000 0.500 0.000 [2 per cell]

Calculated values
calculated density = 3.60 g/cm3

---

ii) The following is a PBE calculation of crystalline NaZnTeI2 at its relaxed geometry, from Alexandria.

Unit cell a=5.848 b=5.848 c=5.299 alpha=90.00 beta=90.00 gamma=90.00
Space group P4/mmm (No. 123)
Unique sites:
1 Na 0.000 0.000 0.000 [1 per cell]
2 Zn 0.500 0.500 0.500 [1 per cell]
3 Te 0.500 0.500 0.000 [1 per cell]
4 I 0.000 0.500 0.500 [2 per cell]

Calculated values
calculated density = 4.31 g/cm3

---

ii) has the most favorable energy; the next structure is 0.557 eV/atom above.